Record 1
DFT (PBE) results for a geometry-optimized NaSrZr2 structure.

abc: 4.290 4.290 13.031
angles: 80.52 80.52 90.00
Element x y z (fractional)
Zr  0.615  0.125  0.250
Zr  0.375  0.385  0.750
Zr  0.135  0.625  0.250
Zr  0.875  0.865  0.750
Na  0.500  0.500  0.000
Na  0.250  0.750  0.500
Sr  0.750  0.250  0.500
Sr  0.000  0.000  0.000

Summary:
For the density of states at the Fermi level, the calculation gives 1.749 states/eV per atom. Its symmetry is No. 122. As for the total energy: -4.26 eV per atom. The mass density is 4.2 g cm⁻³. The calculation puts the excess energy over the best structure of this formula in the dataset at 0 meV/atom. The formation energy is 0.762 eV per atom.

***

Record 2
DFT (PBE) results for a geometry-optimized LiCuBi2 structure.

abc: 4.370 4.370 6.368
angles: 69.94 69.94 60.00
Element x y z (fractional)
Li  0.502  0.502  0.494
Bi  0.259  0.259  0.222
Bi  0.074  0.074  0.779
Cu  0.665  0.665  0.005

Summary:
For the density of states at the Fermi level, the calculation gives 0.591 states/eV per atom. Its symmetry is No. 160. As for the total energy: -3.47 eV per atom. The mass density is 8.4 g cm⁻³. The calculation puts the excess energy over the best structure of this formula in the dataset at 0 meV/atom. The formation energy is -0.032 eV per atom.

***

Record 3
DFT (PBE) results for a geometry-optimized LaCdP4 structure.

abc: 5.497 5.497 5.497
angles: 60.00 60.00 60.00
Element x y z (fractional)
P  0.390  0.830  0.390
P  0.830  0.390  0.390
P  0.390  0.390  0.390
P  0.390  0.390  0.830
Cd  0.750  0.750  0.750
La  0.000  0.000  0.000

Summary:
For the density of states at the Fermi level, the calculation gives 0.721 states/eV per atom. Its symmetry is No. 216. As for the total energy: -4.72 eV per atom. The mass density is 5.3 g cm⁻³. The formation energy is -0.135 eV per atom.

***

Record 4
DFT (PBE) results for a geometry-optimized PrRhCl structure.

abc: 4.332 4.332 10.390
angles: 77.97 77.97 60.00
Element x y z (fractional)
Rh  0.165  0.165  0.505
Rh  0.835  0.835  0.495
Pr  0.563  0.563  0.312
Pr  0.437  0.437  0.688
Cl  0.283  0.283  0.151
Cl  0.717  0.717  0.849

Summary:
For the density of states at the Fermi level, the calculation gives 0.216 states/eV per atom. Its symmetry is No. 166. As for the total energy: -6.01 eV per atom. The mass density is 5.7 g cm⁻³. The calculation puts the excess energy over the best structure of this formula in the dataset at 0 meV/atom.

***

Record 5
DFT (PBE) results for a geometry-optimized CaCo2OsCl structure.

abc: 4.678 4.678 4.731
angles: 90.00 90.00 90.00
Last column: magnetic moment on the atom in μB.
Element x y z (fractional)
Co  0.500  0.000  0.000  1.56
Co  0.000  0.500  0.000  1.56
Os  0.500  0.500  0.500  2.38
Cl  0.000  0.000  0.500  0.07
Ca  0.000  0.000  0.000  -0.12

Summary:
For the density of states at the Fermi level, the calculation gives 1.193 states/eV per atom. Its symmetry is No. 123. As for the total energy: -3.90 eV per atom. The mass density is 6.2 g cm⁻³.

***

Record 6
DFT (PBE) results for a geometry-optimized La4Ge2SeCl structure.

abc: 6.152 6.152 7.498
angles: 114.21 114.21 90.02
Element x y z (fractional)
La  0.437  0.937  0.000
La  0.937  0.437  0.000
La  0.185  0.185  0.495
La  0.690  0.690  0.505
Se  0.937  0.937  0.000
Cl  0.437  0.437  0.000
Ge  0.687  0.187  0.500
Ge  0.187  0.687  0.500

Summary:
For the density of states at the Fermi level, the calculation gives 0.354 states/eV per atom. Its symmetry is No. 139. As for the total energy: -5.70 eV per atom. The mass density is 5.9 g cm⁻³.

***

Record 7
DFT (PBE) results for a geometry-optimized CoTe4Ru structure.

abc: 6.151 6.151 6.151
angles: 60.00 60.00 60.00
Last column: magnetic moment on the atom in μB.
Element x y z (fractional)
Ru  0.000  0.000  0.000  2.32
Te  0.375  0.375  0.875  0.11
Te  0.875  0.375  0.375  0.11
Te  0.375  0.375  0.375  0.11
Te  0.375  0.875  0.375  0.11
Co  0.750  0.750  0.750  2.12

Summary:
For the density of states at the Fermi level, the calculation gives 1.836 states/eV per atom. Its symmetry is No. 216. As for the total energy: -3.36 eV per atom. The mass density is 6.8 g cm⁻³. The calculation puts the excess energy over the best structure of this formula in the dataset at 1538 meV/atom.

***

Record 8
DFT (PBE) results for a geometry-optimized MgW2I structure.

abc: 3.969 3.969 10.999
angles: 79.60 79.60 90.00
Element x y z (fractional)
I  0.000  0.000  0.000
I  0.750  0.250  0.500
W  0.577  0.125  0.250
W  0.173  0.625  0.250
W  0.875  0.827  0.750
W  0.375  0.423  0.750
Mg  0.500  0.500  0.000
Mg  0.250  0.750  0.500

Summary:
For the density of states at the Fermi level, the calculation gives 0.922 states/eV per atom. Its symmetry is No. 122. As for the total energy: -6.11 eV per atom. The mass density is 10.3 g cm⁻³. The calculation puts the excess energy over the best structure of this formula in the dataset at 0 meV/atom.